Record 1
A relaxed MgTa2Pb crystal. Source: Alexandria via LeMat-Bulk, functional PBE-GGA.

abc: 5.553 5.553 5.553
angles: 141.51 129.40 65.32
Atoms (fractional coordinates):
Mg: 0.505 0.505 0.000
Pb: 0.247 0.747 0.500
Ta: 0.984 0.984 0.000
Ta: 0.765 0.265 0.500

Properties
The value obtained for the electronic total energy is -6.815 eV/atom. The total magnetic moment is 0.000 μB/f.u. As for the space group: Imm2.

***

Record 2
A relaxed Mg2TaPb crystal. Source: Alexandria via LeMat-Bulk, functional PBE-GGA.

abc: 3.731 3.731 6.182
angles: 90.00 90.00 90.00
Atoms (fractional coordinates):
Mg: 0.000 0.000 0.990
Mg: 0.500 0.500 0.243
Pb: 0.000 0.000 0.520
Ta: 0.500 0.500 0.747

Properties
The value obtained for the electronic total energy is -4.327 eV/atom. The total magnetic moment is 0.000 μB/f.u. As for the space group: P4mm.

***

Record 3
A relaxed MgTaPb2 crystal. Source: Alexandria via LeMat-Bulk, functional PBE-GGA.

abc: 3.215 3.215 9.360
angles: 90.00 90.00 90.00
Atoms (fractional coordinates):
Mg: 0.500 0.500 0.750
Pb: 0.000 0.000 0.015
Pb: 0.000 0.000 0.485
Ta: 0.500 0.500 0.250

Properties
The value obtained for the electronic total energy is -4.815 eV/atom. The total magnetic moment is 0.000 μB/f.u. As for the space group: P4/mmm.

***

Record 4
A relaxed MgTa2Pb crystal. Source: Alexandria via LeMat-Bulk, functional PBE-GGA.

abc: 3.828 4.372 4.729
angles: 90.00 90.00 90.00
Atoms (fractional coordinates):
Mg: 0.500 0.000 0.500
Pb: 0.000 0.500 0.500
Ta: 0.000 0.000 0.000
Ta: 0.500 0.500 0.000

Properties
The value obtained for the electronic total energy is -6.886 eV/atom. The total magnetic moment is 0.000 μB/f.u. As for the space group: Pmmm.

***

Record 5
A relaxed MgTa2Pb crystal. Source: Alexandria via LeMat-Bulk, functional PBE-GGA.

abc: 7.767 7.767 6.195
angles: 51.18 51.18 90.00
Atoms (fractional coordinates):
Pb: 0.000 0.000 0.000
Pb: 0.750 0.250 0.500
Mg: 0.500 0.500 0.000
Mg: 0.250 0.750 0.500
Ta: 0.627 0.125 0.250
Ta: 0.123 0.625 0.250
Ta: 0.375 0.373 0.750
Ta: 0.875 0.877 0.750

Properties
The value obtained for the electronic total energy is -6.315 eV/atom. The total magnetic moment is 0.000 μB/f.u. As for the space group: I-42d.

***

Record 6
A relaxed Mg2TaPb crystal. Source: Alexandria via LeMat-Bulk, functional PBE-GGA.

abc: 4.516 3.172 6.476
angles: 68.30 90.00 90.00
Atoms (fractional coordinates):
Mg: 0.000 0.047 0.977
Mg: 0.000 0.453 0.523
Pb: 0.500 0.250 0.250
Ta: 0.500 0.750 0.750

Properties
The value obtained for the electronic total energy is -4.348 eV/atom. The total magnetic moment is 0.000 μB/f.u. As for the space group: P2/m.

***

Record 7
A relaxed MgTa2Pb crystal. Source: Alexandria via LeMat-Bulk, functional PBE-GGA.

abc: 4.834 4.834 4.834
angles: 60.00 60.00 60.00
Atoms (fractional coordinates):
Mg: 0.500 0.500 0.500
Pb: 0.750 0.750 0.750
Ta: 0.000 0.000 0.000
Ta: 0.250 0.250 0.250

Properties
The value obtained for the electronic total energy is -6.696 eV/atom. The total magnetic moment is 0.000 μB/f.u. As for the space group: F-43m.

***

Record 8
A relaxed MgTaPb2 crystal. Source: Alexandria via LeMat-Bulk, functional PBE-GGA.

abc: 3.675 4.997 4.997
angles: 90.00 90.00 90.00
Atoms (fractional coordinates):
Mg: 0.500 0.000 0.500
Pb: 0.000 0.000 0.000
Pb: 0.000 0.500 0.500
Ta: 0.500 0.500 0.000

Properties
The value obtained for the electronic total energy is -4.725 eV/atom. The total magnetic moment is 0.000 μB/f.u. As for the space group: P4/mmm.

***

Record 9
A relaxed MgTa2Pb crystal. Source: Alexandria via LeMat-Bulk, functional PBE-GGA.

abc: 2.990 4.602 5.847
angles: 90.00 90.00 90.00
Atoms (fractional coordinates):
Mg: 0.500 0.500 0.250
Pb: 0.500 0.500 0.750
Ta: 0.000 0.000 0.013
Ta: 0.000 0.000 0.487

Properties
The value obtained for the electronic total energy is -6.795 eV/atom. The total magnetic moment is 0.000 μB/f.u. As for the space group: Pmmm.

***

Record 10
A relaxed MgTaPb2 crystal. Source: Alexandria via LeMat-Bulk, functional PBE-GGA.

abc: 3.091 3.091 10.718
angles: 90.00 90.00 91.06
Atoms (fractional coordinates):
Mg: 0.500 0.500 0.722
Pb: 0.000 0.000 0.954
Pb: 0.500 0.500 0.299
Ta: 0.000 0.000 0.524

Properties
The value obtained for the electronic total energy is -4.915 eV/atom. The total magnetic moment is 0.000 μB/f.u. As for the space group: Cmm2.

***

Record 11
A relaxed Mg3TaPb crystal. Source: Alexandria via LeMat-Bulk, functional PBE-GGA.

abc: 5.285 5.285 5.285
angles: 90.00 90.00 90.00
Last column: magnetic moment on the atom in μB.
Atoms (fractional coordinates):
Pb: 0.000 0.000 0.000  0.02
Mg: 0.000 0.500 0.000  0.00
Mg: 0.000 0.000 0.500  -0.01
Mg: 0.500 0.000 0.000  0.00
Ta: 0.500 0.500 0.500  1.68

Properties
The calculation puts the energy above the lowest structure with this stoichiometry at 182.4 meV/atom. The total magnetic moment is 2.688 μB/f.u. As for the space group: Pm-3m.

***

Record 12
A relaxed MgTaPb2 crystal. Source: Alexandria via LeMat-Bulk, functional PBE-GGA.

abc: 5.159 3.152 5.845
angles: 89.13 90.00 90.00
Atoms (fractional coordinates):
Mg: 0.500 0.750 0.750
Pb: 0.000 0.983 0.007
Pb: 0.000 0.517 0.493
Ta: 0.500 0.250 0.250

Properties
The value obtained for the electronic total energy is -4.748 eV/atom. The total magnetic moment is 0.000 μB/f.u. As for the space group: P2/m.